1.
Entry from Alexandria: a PBEsol-optimized structure of ScBe2Au (meta-GGA SCAN).

a b c (Å): 3.1803 4.1052 4.6428
angles (deg): 90.00 90.00 90.00
Last column: nearest neighbours and their distance in Å.
Atoms (fractional coordinates):
Be: 0.0000 0.0000 0.2563  2 Be 2.26-2.38, 2 Au 2.37
Be: 0.0000 0.0000 0.7437  2 Be 2.26-2.38, 2 Au 2.37
Sc: 0.5000 0.5000 0.5000  4 Au 2.81, 8 Be 2.83
Au: 0.0000 0.5000 0.0000  4 Be 2.37

The formation energy is -0.2823 eV/atom. The crystal system is orthorhombic. The value obtained for the excess energy over the best structure of this formula in the dataset is 20.81 kJ per mole of atoms.

2.
Entry from Alexandria: a PBEsol-optimized structure of ZrGeSbTe2 (meta-GGA SCAN).

a b c (Å): 5.1202 5.2285 5.2285
angles (deg): 90.00 90.00 90.00
Last column: nearest neighbours and their distance in Å.
Atoms (fractional coordinates):
Ge: 0.0000 0.0000 0.0000  2 Sb 2.56, 4 Te 2.61
Te: 0.0000 0.5000 0.0000  2 Ge 2.61
Te: 0.0000 0.0000 0.5000  2 Ge 2.61
Sb: 0.5000 0.0000 0.0000  2 Ge 2.56
Zr: 0.5000 0.5000 0.5000  8 Te 3.66, 4 Sb 3.70

The crystal system is tetragonal. The uncorrected formation energy is 0.551 eV per atom.

3.
Entry from Alexandria: a PBEsol-optimized structure of Al2CoPb (meta-GGA SCAN).

a b c (Å): 3.3089 4.7366 4.7366
angles (deg): 112.90 90.00 90.00
Last column: nearest neighbours and their distance in Å.
Atoms (fractional coordinates):
Al: 0.0000 0.5000 0.0000  2 Al 2.62, 4 Pb 2.89, 4 Co 2.89
Al: 0.0000 0.0000 0.5000  2 Al 2.62, 4 Co 2.89, 4 Pb 2.89
Co: 0.5000 0.0000 0.0000  2 Pb 2.62, 8 Al 2.89
Pb: 0.5000 0.5000 0.5000  2 Co 2.62, 8 Al 2.89

The formation energy is 0.3550 eV/atom. The crystal system is orthorhombic.

4.
Entry from Alexandria: a PBEsol-optimized structure of Y2CuTe (meta-GGA SCAN).

a b c (Å): 4.0355 4.0355 7.5619
angles (deg): 74.52 74.52 60.00
Last column: nearest neighbours and their distance in Å.
Atoms (fractional coordinates):
Te: 0.0000 0.0000 0.0000  6 Y 3.05
Y: 0.2418 0.2418 0.2746  3 Cu 2.84, 3 Te 3.05
Y: 0.7582 0.7582 0.7254  3 Cu 2.84, 3 Te 3.05
Cu: 0.5000 0.5000 0.5000  6 Y 2.84

The crystal system is trigonal. The uncorrected formation energy is -0.814 eV per atom.

5.
Entry from Alexandria: a PBEsol-optimized structure of MnTl2H2OF5 (meta-GGA SCAN).

a b c (Å): 6.1241 6.1241 8.3837
angles (deg): 90.00 90.00 102.37
Last column: nearest neighbours and their distance in Å.
Atoms (fractional coordinates):
H: 0.3703 0.3703 0.3461  1 O 1.00
H: 0.6297 0.6297 0.8461  1 O 1.00
H: 0.3703 0.3703 0.1539  1 O 1.00
H: 0.6297 0.6297 0.6539  1 O 1.00
F: 0.8063 0.1937 0.5000  1 Mn 1.85
F: 0.2464 0.2464 0.5043  1 H 1.63
F: 0.0015 0.0015 0.2500  2 Mn 2.10
F: 0.1937 0.8063 0.5000  1 Mn 1.85
F: 0.9985 0.9985 0.7500  2 Mn 2.10
F: 0.1937 0.8063 0.0000  1 Mn 1.85
F: 0.8063 0.1937 0.0000  1 Mn 1.85
F: 0.7536 0.7536 0.0043  1 H 1.63
F: 0.2464 0.2464 0.9957  1 H 1.63
F: 0.7536 0.7536 0.4957  1 H 1.63
O: 0.5524 0.5524 0.7500  2 H 1.00
O: 0.4476 0.4476 0.2500  2 H 1.00
Mn: 0.0000 0.0000 0.0000  4 F 1.85-1.89
Mn: 0.0000 0.0000 0.5000  4 F 1.85-1.89
Tl: 0.4923 0.8981 0.2500  1 O 2.71, 4 F 2.76-2.86
Tl: 0.5077 0.1019 0.7500  1 O 2.71, 4 F 2.76-2.86
Tl: 0.8981 0.4923 0.2500  1 O 2.71, 4 F 2.76-2.86
Tl: 0.1019 0.5077 0.7500  1 O 2.71, 4 F 2.76-2.86

The total energy is -19.6571 eV/atom. The crystal system is orthorhombic.

6.
Entry from Alexandria: a PBEsol-optimized structure of Ga2BiPt2 (meta-GGA SCAN).

a b c (Å): 4.1915 4.1915 6.0151
angles (deg): 110.39 110.39 90.00
Last column: nearest neighbours and their distance in Å.
Atoms (fractional coordinates):
Pt: 0.2500 0.7500 0.5000  4 Ga 2.51
Pt: 0.7500 0.2500 0.5000  4 Ga 2.51
Bi: 0.0000 0.0000 0.0000  8 Ga 3.21, 8 Pt 3.35
Ga: 0.3826 0.3826 0.7653  1 Ga 2.46, 4 Pt 2.51
Ga: 0.6174 0.6174 0.2347  1 Ga 2.46, 4 Pt 2.51

The formation energy is -0.2980 eV/atom. The crystal system is tetragonal. The value obtained for the excess energy over the best structure of this formula in the dataset is 18.70 kJ per mole of atoms.